# HgMo2AuO | the Alexandria database | GGA+U | relaxed
# * raw total energy: -3.05 eV per atom
data_HgMo2AuO
_space_group_name_H-M_alt 'P 4/m m m'
_space_group_IT_number 123
_space_group_name_Hall '-P 4 2'
_cell_length_a 5.474
_cell_length_b 5.474
_cell_length_c 5.207
_cell_angle_alpha 90.00
_cell_angle_beta 90.00
_cell_angle_gamma 90.00
loop_
_atom_site_label
_atom_site_type_symbol
_atom_site_fract_x
_atom_site_fract_y
_atom_site_fract_z
Hg1 Hg 0.000 0.000 0.000
Mo1 Mo 0.000 0.500 0.500
Au1 Au 0.000 0.000 0.500
O1 O 0.500 0.500 0.000